TiInPt3 | PBE-GGA | relaxed

It has space group Pm-3m (No. 221), with a = 4.7532 Å, b = 4.7532 Å, c = 4.7532 Å, α = 90.00°, β = 90.00° and γ = 90.00°. The inequivalent atoms are Ti at (0.0000, 0.0000, 0.0000), In at (0.5000, 0.5000, 0.5000) and Pt at (0.0000, 0.0000, 0.5000).

The size of the total moment comes out at 0.00 μB/f.u. As for the offset from the most stable computed form: 0 meV/atom. The value obtained for the electronic total energy is -5.39 eV/atom. The calculation puts the calculated formation energy at 0.36 eV per atom.